Density functional theory data (PBE) for an optimized crystal structure of Zn2HgSb.

Crystal system: monoclinic
Symmetry: Pm (6)
Polymorph energy (0 for the lowest one) in eV/atom: 0.001
Spin magnetization in μB per formula unit: 0.00

Unit cell a=4.4546 b=4.6054 c=4.4614 alpha=90.00 beta=101.94 gamma=90.00
Fractional positions:
1 Zn 0.0000 0.0000 0.0000
2 Zn 0.1886 0.5000 0.8067
3 Hg 0.4335 0.0000 0.5654
4 Sb 0.7656 0.5000 0.2306